(1)
Material: LiLa2W
Method: DFT, PBE
State: optimized geometry

Cell: 7.1777 7.1777 7.1777 Å, 90.00 90.00 90.00°
Space group F-43m (No. 216)
Inequivalent atoms, fractional coordinates:
Li  0.0000  0.0000  0.0000 (multiplicity 4)
La  0.0000  0.0000  0.5000 (multiplicity 4)
La  0.2500  0.2500  0.2500 (multiplicity 4)
W  0.2500  0.2500  0.7500 (multiplicity 4)

Calculated values
- relative energy among the computed polymorphs (meV/atom) = 298
- energy (eV/atom) = -5.472
- magnetic moment (μB per cell) = 0.40
- E_form (eV/atom) = 0.71



(2)
Material: KAl2BrCl
Method: DFT, PBE
State: optimized geometry

Cell: 6.6405 6.6405 5.6588 Å, 90.00 90.00 90.00°
Space group P4/mmm (No. 123)
Inequivalent atoms, fractional coordinates:
K  0.0000  0.0000  0.0000 (multiplicity 1)
Al  0.0000  0.5000  0.0000 (multiplicity 2)
Br  0.0000  0.0000  0.5000 (multiplicity 1)
Cl  0.5000  0.5000  0.5000 (multiplicity 1)

Calculated values
- energy (eV/atom) = -2.015
- magnetic moment (μB per cell) = 0.86
- formation energy (no corrections) (meV/atom) = 405



(3)
Material: ReBPC
Method: DFT, PBE
State: optimized geometry

Cell: 8.3009 2.8828 4.2628 Å, 90.00 101.04 90.00°
Space group Cm (No. 8)
Inequivalent atoms, fractional coordinates:
Re  0.0000  0.0000  0.0000 (multiplicity 2)
B  0.4353  0.0000  0.6068 (multiplicity 2)
P  0.2279  0.5000  0.1175 (multiplicity 2)
C  0.4031  0.5000  0.4590 (multiplicity 2)

Calculated values
- relative energy among the computed polymorphs (meV/atom) = 218
- energy (eV/atom) = -8.110
- magnetic moment (μB per cell) = 0.00
- E_form (eV/atom) = 0.33